1.
An optimized crystal structure of YPdRu3, computed with GGA-PBE.

CIF file:
```
data_YPdRu3
_chemical_formula_sum 'Y1 Pd1 Ru3'
_cell_length_a 4.7652
_cell_length_b 4.7652
_cell_length_c 4.7652
_cell_angle_alpha 90.00
_cell_angle_beta 90.00
_cell_angle_gamma 90.00
_symmetry_space_group_name_H-M 'P m -3 m'
_symmetry_Int_Tables_number 221
_symmetry_space_group_name_Hall '-P 4 2 3'
loop_
_atom_site_label
_atom_site_type_symbol
_atom_site_fract_x
_atom_site_fract_y
_atom_site_fract_z
_atom_site_occupancy
Y1 Y 0.0000 0.0000 0.0000 1
Pd1 Pd 0.5000 0.5000 0.5000 1
Ru1 Ru 0.0000 0.5000 0.5000 1
```

Calculated values
Fermi-level density of states: 5.59 states/eV/cell
E above lowest polymorph: 0 kJ/mol of formula units
Total magnetic moment: 4.6 Bohr magnetons per cell
Total DFT energy (no corrections): -6.66 eV/atom
ΔH_f (0 K): 1.2330 eV/atom
Crystal system: cubic


2.
An optimized crystal structure of Y4Pd3Ru, computed with GGA-PBE.

CIF file:
```
data_Y4Pd3Ru
_chemical_formula_sum 'Y4 Pd3 Ru1'
_cell_length_a 3.4665
_cell_length_b 3.4665
_cell_length_c 14.1376
_cell_angle_alpha 90.00
_cell_angle_beta 90.00
_cell_angle_gamma 90.00
_symmetry_space_group_name_H-M 'P 4/m m m'
_symmetry_Int_Tables_number 123
_symmetry_space_group_name_Hall '-P 4 2'
loop_
_atom_site_label
_atom_site_type_symbol
_atom_site_fract_x
_atom_site_fract_y
_atom_site_fract_z
_atom_site_occupancy
Y1 Y 0.0000 0.0000 0.1179 1
Y2 Y 0.0000 0.0000 0.3731 1
Pd1 Pd 0.5000 0.5000 0.2489 1
Pd2 Pd 0.5000 0.5000 0.5000 1
Ru1 Ru 0.5000 0.5000 0.0000 1
```

Calculated values
Fermi-level density of states: 2.88 states/eV/cell
Total magnetic moment: 0.0 Bohr magnetons per cell
Total DFT energy (no corrections): -7.11 eV/atom
ΔH_f (0 K): -0.7714 eV/atom
Crystal system: tetragonal


3.
An optimized crystal structure of YPdRu3, computed with GGA-PBE.

CIF file:
```
data_YPdRu3
_chemical_formula_sum 'Y1 Pd1 Ru3'
_cell_length_a 4.8162
_cell_length_b 4.8162
_cell_length_c 4.8162
_cell_angle_alpha 90.00
_cell_angle_beta 90.00
_cell_angle_gamma 90.00
_symmetry_space_group_name_H-M 'P m -3 m'
_symmetry_Int_Tables_number 221
_symmetry_space_group_name_Hall '-P 4 2 3'
loop_
_atom_site_label
_atom_site_type_symbol
_atom_site_fract_x
_atom_site_fract_y
_atom_site_fract_z
_atom_site_occupancy
Y1 Y 0.0000 0.0000 0.0000 1
Pd1 Pd 0.5000 0.5000 0.5000 1
Ru1 Ru 0.0000 0.0000 0.5000 1
```

Calculated values
Fermi-level density of states: 5.63 states/eV/cell
E above lowest polymorph: 412 kJ/mol of formula units
Total magnetic moment: 4.6 Bohr magnetons per cell
Total DFT energy (no corrections): -5.81 eV/atom
ΔH_f (0 K): 2.0865 eV/atom
Crystal system: cubic


4.
An optimized crystal structure of YPdRu2, computed with GGA-PBE.

CIF file:
```
data_YPdRu2
_chemical_formula_sum 'Y4 Pd4 Ru8'
_cell_length_a 6.4958
_cell_length_b 6.4958
_cell_length_c 6.4958
_cell_angle_alpha 90.00
_cell_angle_beta 90.00
_cell_angle_gamma 90.00
_symmetry_space_group_name_H-M 'F m -3 m'
_symmetry_Int_Tables_number 225
_symmetry_space_group_name_Hall '-F 4 2 3'
loop_
_atom_site_label
_atom_site_type_symbol
_atom_site_fract_x
_atom_site_fract_y
_atom_site_fract_z
_atom_site_occupancy
Y1 Y 0.0000 0.0000 0.0000 1
Pd1 Pd 0.0000 0.0000 0.5000 1
Ru1 Ru 0.2500 0.2500 0.2500 1
```

Calculated values
Fermi-level density of states: 32.71 states/eV/cell
Total magnetic moment: 0.0 Bohr magnetons per cell
Total DFT energy (no corrections): -7.36 eV/atom
ΔH_f (0 K): 0.1912 eV/atom
Crystal system: cubic


5.
An optimized crystal structure of Y2PdRu, computed with GGA-PBE.

CIF file:
```
data_Y2PdRu
_chemical_formula_sum 'Y8 Pd4 Ru4'
_cell_length_a 6.9190
_cell_length_b 6.9190
_cell_length_c 6.9190
_cell_angle_alpha 90.00
_cell_angle_beta 90.00
_cell_angle_gamma 90.00
_symmetry_space_group_name_H-M 'F m -3 m'
_symmetry_Int_Tables_number 225
_symmetry_space_group_name_Hall '-F 4 2 3'
loop_
_atom_site_label
_atom_site_type_symbol
_atom_site_fract_x
_atom_site_fract_y
_atom_site_fract_z
_atom_site_occupancy
Y1 Y 0.2500 0.2500 0.2500 1
Pd1 Pd 0.0000 0.0000 0.0000 1
Ru1 Ru 0.0000 0.0000 0.5000 1
```

Calculated values
Fermi-level density of states: 6.86 states/eV/cell
Total magnetic moment: 0.0 Bohr magnetons per cell
Total DFT energy (no corrections): -7.47 eV/atom
ΔH_f (0 K): -0.6176 eV/atom
Crystal system: cubic


6.
An optimized crystal structure of Y3PdRu, computed with GGA-PBE.

CIF file:
```
data_Y3PdRu
_chemical_formula_sum 'Y3 Pd1 Ru1'
_cell_length_a 5.2582
_cell_length_b 5.2582
_cell_length_c 5.2582
_cell_angle_alpha 90.00
_cell_angle_beta 90.00
_cell_angle_gamma 90.00
_symmetry_space_group_name_H-M 'P m -3 m'
_symmetry_Int_Tables_number 221
_symmetry_space_group_name_Hall '-P 4 2 3'
loop_
_atom_site_label
_atom_site_type_symbol
_atom_site_fract_x
_atom_site_fract_y
_atom_site_fract_z
_atom_site_occupancy
Y1 Y 0.0000 0.0000 0.5000 1
Pd1 Pd 0.5000 0.5000 0.5000 1
Ru1 Ru 0.0000 0.0000 0.0000 1
```

Calculated values
Fermi-level density of states: 3.56 states/eV/cell
E above lowest polymorph: 217 kJ/mol of formula units
Total magnetic moment: 0.0 Bohr magnetons per cell
Total DFT energy (no corrections): -6.84 eV/atom
ΔH_f (0 K): -0.0647 eV/atom
Crystal system: cubic


7.
An optimized crystal structure of Y8PdRu2, computed with GGA-PBE.

CIF file:
```
data_Y8PdRu2
_chemical_formula_sum 'Y16 Pd2 Ru4'
_cell_length_a 8.4508
_cell_length_b 12.6035
_cell_length_c 5.9127
_cell_angle_alpha 90.00
_cell_angle_beta 107.94
_cell_angle_gamma 90.00
_symmetry_space_group_name_H-M 'C 1 m 1'
_symmetry_Int_Tables_number 8
loop_
_symmetry_equiv_pos_as_xyz
'x,y,z'
'x,-y,z'
'x+1/2,y+1/2,z'
'x+1/2,-y+1/2,z'
loop_
_atom_site_label
_atom_site_type_symbol
_atom_site_fract_x
_atom_site_fract_y
_atom_site_fract_z
_atom_site_occupancy
Y1 Y 0.0000 0.0000 0.0000 1
Y2 Y 0.0723 0.3686 0.7883 1
Y3 Y 0.1584 0.1317 0.5961 1
Y4 Y 0.2374 0.5000 0.3827 1
Y5 Y 0.3682 0.2208 0.1902 1
Pd1 Pd 0.3696 0.0000 0.0505 1
Ru1 Ru 0.3642 0.3106 0.6898 1
```

Calculated values
Fermi-level density of states: 21.95 states/eV/cell
Total magnetic moment: 0.0 Bohr magnetons per cell
Total DFT energy (no corrections): -7.14 eV/atom
ΔH_f (0 K): -0.2757 eV/atom
Crystal system: monoclinic


8.
An optimized crystal structure of Y4PdRu3, computed with GGA-PBE.

CIF file:
```
data_Y4PdRu3
_chemical_formula_sum 'Y4 Pd1 Ru3'
_cell_length_a 4.8617
_cell_length_b 4.8617
_cell_length_c 6.8498
_cell_angle_alpha 90.00
_cell_angle_beta 90.00
_cell_angle_gamma 90.00
_symmetry_space_group_name_H-M 'P 4/m m m'
_symmetry_Int_Tables_number 123
_symmetry_space_group_name_Hall '-P 4 2'
loop_
_atom_site_label
_atom_site_type_symbol
_atom_site_fract_x
_atom_site_fract_y
_atom_site_fract_z
_atom_site_occupancy
Y1 Y 0.0000 0.5000 0.2444 1
Pd1 Pd 0.0000 0.0000 0.5000 1
Ru1 Ru 0.0000 0.0000 0.0000 1
Ru2 Ru 0.5000 0.5000 0.0000 1
Ru3 Ru 0.5000 0.5000 0.5000 1
```

Calculated values
Fermi-level density of states: 3.83 states/eV/cell
Total magnetic moment: 0.0 Bohr magnetons per cell
Total DFT energy (no corrections): -7.83 eV/atom
ΔH_f (0 K): -0.4667 eV/atom
Crystal system: tetragonal